Version i
## LaMnSe2N (PBE)

Data for a relaxed structure of LaMnSe2N.

Structure (CIF):
```
data_LaMnSe2N
_cell_length_a 5.089
_cell_length_b 5.089
_cell_length_c 3.665
_cell_angle_alpha 90.00
_cell_angle_beta 90.00
_cell_angle_gamma 90.00
_space_group_name_H-M_alt 'P 4/m m m'
_space_group_IT_number 123
_space_group_name_Hall '-P 4 2'
loop_
_atom_site_label
_atom_site_fract_x
_atom_site_fract_y
_atom_site_fract_z
La1 0.000 0.000 0.000
Mn1 0.500 0.500 0.500
Se1 0.000 0.500 0.500
N1 0.500 0.500 0.000
```

Calculated volume ... 94.9 Å³ per cell



Version ii
## LaMnSe2N (PBE)

Data for a relaxed structure of LaMnSe2N.

Structure (CIF):
```
data_LaMnSe2N
_cell_length_a 5.827
_cell_length_b 5.827
_cell_length_c 4.239
_cell_angle_alpha 90.00
_cell_angle_beta 90.00
_cell_angle_gamma 90.00
_space_group_name_H-M_alt 'P 4/m m m'
_space_group_IT_number 123
_space_group_name_Hall '-P 4 2'
loop_
_atom_site_label
_atom_site_fract_x
_atom_site_fract_y
_atom_site_fract_z
La1 0.000 0.000 0.000
Mn1 0.500 0.500 0.500
Se1 0.000 0.500 0.000
N1 0.000 0.000 0.500
```

Calculated volume ... 143.9 Å³ per cell



Stability check: which of them is least stable? version ii.



Version i
## LaMnSeN2 (PBE)

Data for a relaxed structure of LaMnSeN2.

Structure (CIF):
```
data_LaMnSeN2
_cell_length_a 4.163
_cell_length_b 4.163
_cell_length_c 6.379
_cell_angle_alpha 90.00
_cell_angle_beta 90.00
_cell_angle_gamma 90.00
_space_group_name_H-M_alt 'P 4/m m m'
_space_group_IT_number 123
_space_group_name_Hall '-P 4 2'
loop_
_atom_site_label
_atom_site_fract_x
_atom_site_fract_y
_atom_site_fract_z
La1 0.000 0.000 0.000
Mn1 0.500 0.500 0.500
Se1 0.000 0.000 0.500
N1 0.000 0.500 0.000
```

Calculated volume ... 110.5 Å³ per cell



Version ii
## LaMnSeN2 (PBE)

Data for a relaxed structure of LaMnSeN2.

Structure (CIF):
```
data_LaMnSeN2
_cell_length_a 3.943
_cell_length_b 3.943
_cell_length_c 4.885
_cell_angle_alpha 90.00
_cell_angle_beta 90.00
_cell_angle_gamma 90.00
_space_group_name_H-M_alt 'P 4/m m m'
_space_group_IT_number 123
_space_group_name_Hall '-P 4 2'
loop_
_atom_site_label
_atom_site_fract_x
_atom_site_fract_y
_atom_site_fract_z
La1 0.000 0.000 0.000
Mn1 0.500 0.500 0.500
Se1 0.500 0.500 0.000
N1 0.000 0.500 0.500
```

Calculated volume ... 75.9 Å³ per cell



Stability check: which of them is least stable? version i.



Version i
## LaMnTeN2 (PBE)

Data for a relaxed structure of LaMnTeN2.

Structure (CIF):
```
data_LaMnTeN2
_cell_length_a 4.123
_cell_length_b 4.123
_cell_length_c 6.999
_cell_angle_alpha 90.00
_cell_angle_beta 90.00
_cell_angle_gamma 90.00
_space_group_name_H-M_alt 'P 4/m m m'
_space_group_IT_number 123
_space_group_name_Hall '-P 4 2'
loop_
_atom_site_label
_atom_site_fract_x
_atom_site_fract_y
_atom_site_fract_z
La1 0.000 0.000 0.000
Mn1 0.500 0.500 0.500
Te1 0.000 0.000 0.500
N1 0.000 0.500 0.000
```

Calculated volume ... 119.0 Å³ per cell



Version ii
## LaMnTeN2 (PBE)

Data for a relaxed structure of LaMnTeN2.

Structure (CIF):
```
data_LaMnTeN2
_cell_length_a 4.102
_cell_length_b 4.102
_cell_length_c 5.146
_cell_angle_alpha 90.00
_cell_angle_beta 90.00
_cell_angle_gamma 90.00
_space_group_name_H-M_alt 'P 4/m m m'
_space_group_IT_number 123
_space_group_name_Hall '-P 4 2'
loop_
_atom_site_label
_atom_site_fract_x
_atom_site_fract_y
_atom_site_fract_z
La1 0.000 0.000 0.000
Mn1 0.500 0.500 0.500
Te1 0.500 0.500 0.000
N1 0.000 0.500 0.500
```

Calculated volume ... 86.6 Å³ per cell



Stability check: which of them is least stable? version i.